4
Lattice="-0.352 1.917 1.885 -2.386 -2.214 1.806 3.911 -1.979 2.741" Properties=species:S:1:pos:R:3 comment="BeTcIr2 | the Alexandria database | PBEsol | relaxed" e_form_ev_per_atom=-0.102 pbc="T T T"
Be 1.659 -1.681 3.967
Tc 1.929 -0.976 1.352
Ir -0.297 -0.691 2.597
Ir 3.749 -1.897 2.627

=====

This record from the Alexandria database describes a geometry-optimized ZnOsI3 structure. The functional is PBEsol.

```
5
Lattice="5.339 0.000 0.000 0.000 5.339 0.000 0.000 0.000 5.339" Properties=species:S:1:pos:R:3 pbc="T T T"
Os 0.000 0.000 0.000
Zn 2.670 2.670 2.670
I 0.000 2.670 0.000
I 0.000 0.000 2.670
I 2.670 0.000 0.000
```

=====

| no. | DOS at the Fermi energy (states/eV per atom) | total moment (μB per cell) | E (Ha/atom) |
| --- | --- | --- | --- |
| 1 | 0.806 | 0.000 | -0.3245 |
| 2 | 1.022 | 1.330 | -0.1142 |